No. 1
Crystalline YEr2Cu4Sn2Ge2 at its relaxed geometry. Source: OQMD, functional PBE.

As for the space group: Immm. The magnetization is 0.002 Bohr magnetons per cell. As for the total DFT energy (no corrections): -4.86 eV per atom.

a = 8.218 Å, b = 8.218 Å, c = 8.218 Å
α = 149.94°, β = 130.05°, γ = 59.41°
Positions (direct):
Y  0.000  0.000  0.000
Er  0.364  0.864  0.500
Er  0.636  0.136  0.500
Cu  0.011  0.323  0.688
Cu  0.364  0.677  0.688
Cu  0.636  0.323  0.312
Cu  0.989  0.677  0.312
Sn  0.299  0.500  0.799
Sn  0.701  0.500  0.201
Ge  0.218  0.218  0.000
Ge  0.782  0.782  0.000



No. 2
Crystalline TbErCu2Ge2 at its relaxed geometry. Source: OQMD, functional PBE.

As for the space group: P3m1. The magnetization is 0.002 Bohr magnetons per cell. As for the total DFT energy (no corrections): -5.00 eV per atom.

a = 4.239 Å, b = 4.239 Å, c = 7.338 Å
α = 90.00°, β = 90.00°, γ = 120.00°
Positions (direct):
Tb  0.000  0.000  0.000
Er  0.000  0.000  0.500
Cu  0.333  0.667  0.233
Cu  0.667  0.333  0.729
Ge  0.333  0.667  0.765
Ge  0.667  0.333  0.268



No. 3
Crystalline Tb2ErCu4Ge4 at its relaxed geometry. Source: OQMD, functional PBE.

As for the space group: Immm. The magnetization is 0.002 Bohr magnetons per cell. As for the total DFT energy (no corrections): -4.92 eV per atom.

a = 8.009 Å, b = 8.009 Å, c = 8.009 Å
α = 149.49°, β = 131.03°, γ = 58.80°
Positions (direct):
Tb  0.130  0.130  0.000
Tb  0.870  0.870  0.000
Er  0.500  0.000  0.500
Cu  0.141  0.331  0.810
Cu  0.480  0.669  0.810
Cu  0.520  0.331  0.190
Cu  0.859  0.669  0.190
Ge  0.194  0.500  0.694
Ge  0.284  0.784  0.500
Ge  0.716  0.216  0.500
Ge  0.806  0.500  0.306